Here is an optimized crystal structure of Cs2Pt3O4 from the Open Quantum Materials Database. Energies are from GGA-PBE.

Computed properties:
Magnetization: 0.0 μB/cell
SG: Fmmm (69)
Energy: -5.11 eV/atom

Cell: 7.949 6.908 5.795 Å, 76.92 57.83 45.24°
Fractional coordinates of all 9 atoms:
Cs 0.670 0.670 0.330
Cs 0.330 0.330 0.670
O 0.268 0.927 0.073
O 0.073 0.732 0.268
O 0.927 0.268 0.732
O 0.732 0.073 0.927
Pt 0.000 0.000 0.000
Pt 0.500 0.500 0.000
Pt 0.000 0.000 0.500